Run 1
The following is a DFT calculation (PBE) of a relaxed MgMnFe crystal.

Values from the calculation:
**Space group**: No. 187
**Total magnetic moment**: 4.4 μB per cell

abc: 4.252 4.252 2.650
angles: 90.00 90.00 120.00
Site moments in Bohr magnetons follow the coordinates.
Positions (direct):
Fe 0.000 0.000 0.834  1.83
Mg 0.667 0.333 0.334  -0.04
Mn 0.333 0.667 0.833  2.59

---

Run 2
The following is a DFT calculation (PBE) of a relaxed MgMnFe crystal.

Values from the calculation:
**Space group**: No. 63
**Total magnetic moment**: 7.5 μB per cell

abc: 2.782 4.346 7.103
angles: 90.00 101.29 90.00
Site moments in Bohr magnetons follow the coordinates.
Positions (direct):
Mg 0.938 0.250 0.876  -0.02
Mg 0.062 0.750 0.124  -0.02
Fe 0.367 0.750 0.733  1.72
Fe 0.633 0.250 0.267  1.72
Mn 0.734 0.750 0.468  1.97
Mn 0.266 0.250 0.532  1.97

---

Run 3
The following is a DFT calculation (PBE) of a relaxed MgMnFe crystal.

Values from the calculation:
**Space group**: No. 216
**Total magnetic moment**: 0.8 μB per cell

abc: 4.067 4.067 4.067
angles: 60.00 60.00 60.00
Site moments in Bohr magnetons follow the coordinates.
Positions (direct):
Fe 0.750 0.750 0.750  1.83
Mg 0.000 0.000 0.000  0.01
Mn 0.500 0.500 0.500  -2.54

---

Run 4
The following is a DFT calculation (PBE) of a relaxed MgMnFe crystal.

Values from the calculation:
**Space group**: No. 107
**Total magnetic moment**: 1.3 μB per cell

abc: 5.454 5.454 2.792
angles: 75.17 75.17 29.66
Site moments in Bohr magnetons follow the coordinates.
Positions (direct):
Fe 0.025 0.025 0.975  0.98
Mg 0.334 0.334 0.666  -0.01
Mn 0.640 0.640 0.360  0.30

---

Bottom line: run 4, by a margin of 53 meV/atom.

---

Run 1
The following is a DFT calculation (PBE) of a relaxed MgMn2Fe2 crystal.

Values from the calculation:
**Space group**: No. 139
**Total magnetic moment**: 2.1 μB per cell

abc: 3.818 3.818 5.321
angles: 68.98 68.98 90.00
Site moments in Bohr magnetons follow the coordinates.
Positions (direct):
Fe 0.616 0.616 0.768  -0.48
Fe 0.384 0.384 0.232  -0.48
Mn 0.750 0.250 0.500  1.51
Mn 0.250 0.750 0.500  1.51
Mg 0.000 0.000 0.000  -0.01

---

Run 2
The following is a DFT calculation (PBE) of a relaxed MgMn2Fe2 crystal.

Values from the calculation:
**Space group**: No. 127
**Total magnetic moment**: 0.0 μB per cell

abc: 6.900 6.900 2.530
angles: 90.00 90.00 90.00
Positions (direct):
Mn 0.664 0.836 0.500
Mn 0.164 0.664 0.500
Mn 0.336 0.164 0.500
Mn 0.836 0.336 0.500
Mg 0.500 0.500 0.000
Mg 0.000 0.000 0.000
Fe 0.376 0.876 0.000
Fe 0.876 0.624 0.000
Fe 0.124 0.376 0.000
Fe 0.624 0.124 0.000

---

Bottom line: run 2, by a margin of 41 meV/atom.

---

Run 1
The following is a DFT calculation (PBE) of a relaxed Mg14MnFe crystal.

Values from the calculation:
**Space group**: No. 187
**Total magnetic moment**: 6.2 μB per cell

abc: 6.224 6.224 9.962
angles: 90.00 90.00 120.00
Site moments in Bohr magnetons follow the coordinates.
Positions (direct):
Mg 0.501 0.001 0.500  -0.01
Mg 0.160 0.320 0.254  -0.01
Mg 0.680 0.840 0.254  -0.01
Mg 0.160 0.320 0.746  -0.01
Mg 0.499 0.501 0.000  -0.01
Mg 0.160 0.840 0.746  -0.01
Mg 0.667 0.333 0.248  0.01
Mg 0.999 0.499 0.500  -0.01
Mg 0.002 0.501 0.000  -0.01
Mg 0.501 0.499 0.500  -0.01
Mg 0.499 0.998 0.000  -0.01
Mg 0.160 0.840 0.254  -0.01
Mg 0.667 0.333 0.752  0.01
Mg 0.680 0.840 0.746  -0.01
Fe 0.000 0.000 0.500  2.70
Mn 0.000 0.000 0.000  3.71

---

Run 2
The following is a DFT calculation (PBE) of a relaxed Mg14MnFe crystal.

Values from the calculation:
**Space group**: No. 38
**Total magnetic moment**: 6.3 μB per cell

abc: 6.218 6.218 10.046
angles: 90.00 90.00 120.19
Site moments in Bohr magnetons follow the coordinates.
Positions (direct):
Mg 0.339 0.162 0.500  -0.02
Mg 0.835 0.165 0.000  0.00
Mg 0.165 0.340 0.729  -0.01
Mg 0.669 0.331 0.254  0.00
Mg 0.334 0.666 0.000  0.00
Mg 0.669 0.331 0.746  0.00
Mg 0.170 0.830 0.258  0.00
Mg 0.170 0.830 0.742  0.00
Mg 0.332 0.167 0.000  0.00
Mg 0.165 0.340 0.271  -0.01
Mg 0.838 0.661 0.500  -0.02
Mg 0.660 0.835 0.729  -0.01
Mg 0.833 0.668 0.000  0.00
Mg 0.660 0.835 0.271  -0.01
Fe 0.329 0.671 0.500  2.66
Mn 0.832 0.168 0.500  3.65

---

Bottom line: run 2, by a margin of 9 meV/atom.